<1>
{"formula": "Sm4CoHg2", "functional": "GGA-PBE", "state": "optimized geometry", "lattice_angstrom": [[16.8359, 0.0000, 0.0000], [0.0000, 3.9548, 0.0000], [-2.5204, 0.0000, 6.0578]], "species": ["Sm", "Sm", "Sm", "Sm", "Sm", "Sm", "Sm", "Sm", "Co", "Co", "Hg", "Hg", "Hg", "Hg"], "frac_coords": [[0.0966, 0.0000, 0.2535], [0.0977, 0.5000, 0.7613], [0.4023, 0.0000, 0.2387], [0.4034, 0.5000, 0.7465], [0.5966, 0.5000, 0.2535], [0.5977, 0.0000, 0.7613], [0.9023, 0.5000, 0.2387], [0.9034, 0.0000, 0.7465], [0.0000, 0.0000, 0.5000], [0.5000, 0.5000, 0.5000], [0.2477, 0.5000, 0.2596], [0.2523, 0.0000, 0.7404], [0.7477, 0.0000, 0.2596], [0.7523, 0.5000, 0.7404]], "total_magnetization_mub_per_fu": 0.00, "crystal_system": "monoclinic", "spacegroup": "No. 12", "vol_a3_per_atom": 28.81, "dos_ef_per_ev_cell": 9.00}

---

<2>
{"formula": "Sm4CoHg2", "functional": "GGA-PBE", "state": "optimized geometry", "lattice_angstrom": [[5.1626, 0.0000, 0.0000], [0.0000, 5.1626, 0.0000], [0.0000, 0.0000, 15.5261]], "species": ["Sm", "Sm", "Sm", "Sm", "Sm", "Sm", "Sm", "Sm", "Co", "Co", "Hg", "Hg", "Hg", "Hg"], "frac_coords": [[0.0000, 0.0000, 0.1772], [0.0000, 0.0000, 0.8228], [0.0000, 0.5000, 0.0000], [0.0000, 0.5000, 0.5000], [0.5000, 0.0000, 0.0000], [0.5000, 0.0000, 0.5000], [0.5000, 0.5000, 0.3228], [0.5000, 0.5000, 0.6772], [0.0000, 0.0000, 0.0000], [0.5000, 0.5000, 0.5000], [0.0000, 0.0000, 0.3722], [0.0000, 0.0000, 0.6278], [0.5000, 0.5000, 0.1278], [0.5000, 0.5000, 0.8722]], "total_magnetization_mub_per_fu": 0.00, "crystal_system": "tetragonal", "spacegroup": "No. 139", "vol_a3_per_atom": 29.56, "dos_ef_per_ev_cell": 14.80}

---

The relative energies come out as <1> 0.0; <2> 5.5, with values in kJ/mol of atoms.

---

<1>
{"formula": "Sm6CoHg3", "functional": "GGA-PBE", "state": "optimized geometry", "lattice_angstrom": [[9.0523, 0.0000, 0.0000], [0.0000, 5.4465, 0.0000], [-3.4075, 0.0000, 10.9256]], "species": ["Sm", "Sm", "Sm", "Sm", "Sm", "Sm", "Sm", "Sm", "Sm", "Sm", "Sm", "Sm", "Co", "Co", "Hg", "Hg", "Hg", "Hg", "Hg", "Hg"], "frac_coords": [[0.0205, 0.2500, 0.4110], [0.1839, 0.7500, 0.1592], [0.2784, 0.2500, 0.9922], [0.3570, 0.7500, 0.8459], [0.3760, 0.2500, 0.3484], [0.3934, 0.2500, 0.6513], [0.6066, 0.7500, 0.3487], [0.6240, 0.7500, 0.6516], [0.6430, 0.2500, 0.1541], [0.7216, 0.7500, 0.0078], [0.8161, 0.2500, 0.8408], [0.9795, 0.7500, 0.5890], [0.4608, 0.7500, 0.1017], [0.5392, 0.2500, 0.8983], [0.0014, 0.7500, 0.8682], [0.0830, 0.2500, 0.7125], [0.2790, 0.7500, 0.4721], [0.7210, 0.2500, 0.5279], [0.9170, 0.7500, 0.2875], [0.9986, 0.2500, 0.1318]], "total_magnetization_mub_per_fu": 0.00, "crystal_system": "monoclinic", "spacegroup": "No. 11", "vol_a3_per_atom": 26.93, "dos_ef_per_ev_cell": 18.97}

---

<2>
{"formula": "Sm6CoHg3", "functional": "GGA-PBE", "state": "optimized geometry", "lattice_angstrom": [[5.5640, 0.0000, 0.0000], [0.0000, 8.8673, 0.0000], [-5.1328, 0.0000, 11.3375]], "species": ["Sm", "Sm", "Sm", "Sm", "Sm", "Sm", "Sm", "Sm", "Sm", "Sm", "Sm", "Sm", "Co", "Co", "Hg", "Hg", "Hg", "Hg", "Hg", "Hg"], "frac_coords": [[0.0178, 0.1942, 0.0683], [0.0178, 0.3058, 0.5683], [0.2921, 0.5193, 0.2325], [0.2921, 0.9807, 0.7325], [0.3569, 0.1500, 0.4240], [0.3569, 0.3500, 0.9240], [0.6431, 0.6500, 0.0760], [0.6431, 0.8500, 0.5760], [0.7079, 0.0193, 0.2675], [0.7079, 0.4807, 0.7675], [0.9822, 0.6942, 0.4317], [0.9822, 0.8058, 0.9317], [0.0000, 0.0000, 0.5000], [0.0000, 0.5000, 0.0000], [0.1752, 0.6365, 0.7325], [0.1752, 0.8635, 0.2325], [0.5000, 0.0000, 0.0000], [0.5000, 0.5000, 0.5000], [0.8248, 0.1365, 0.7675], [0.8248, 0.3635, 0.2675]], "total_magnetization_mub_per_fu": 0.00, "crystal_system": "monoclinic", "spacegroup": "No. 14", "vol_a3_per_atom": 27.97, "dos_ef_per_ev_cell": 18.14}

---

The relative energies come out as <1> 0.0; <2> 1.0, with values in kJ/mol of atoms.

---

<1>
{"formula": "Co2SnHg2", "functional": "GGA-PBE", "state": "optimized geometry", "lattice_angstrom": [[3.3316, 0.0000, 0.0000], [0.0000, 3.3316, 0.0000], [0.0000, 0.0000, 17.9890]], "species": ["Co", "Co", "Co", "Co", "Sn", "Sn", "Hg", "Hg", "Hg", "Hg"], "frac_coords": [[0.0000, 0.5000, 0.2500], [0.0000, 0.5000, 0.7500], [0.5000, 0.0000, 0.2500], [0.5000, 0.0000, 0.7500], [0.0000, 0.0000, 0.0000], [0.5000, 0.5000, 0.5000], [0.0000, 0.0000, 0.3742], [0.0000, 0.0000, 0.6258], [0.5000, 0.5000, 0.1258], [0.5000, 0.5000, 0.8742]], "total_magnetization_mub_per_fu": 3.36, "crystal_system": "tetragonal", "spacegroup": "No. 139", "vol_a3_per_atom": 19.97, "dos_ef_per_ev_cell": 6.62}

---

<2>
{"formula": "Co2SnHg2", "functional": "GGA-PBE", "state": "optimized geometry", "lattice_angstrom": [[7.8277, 0.0000, 0.0000], [0.0000, 7.8277, 0.0000], [0.0000, 0.0000, 2.9953]], "species": ["Co", "Co", "Co", "Co", "Sn", "Sn", "Hg", "Hg", "Hg", "Hg"], "frac_coords": [[0.1537, 0.3463, 0.0000], [0.3463, 0.8463, 0.0000], [0.6537, 0.1537, 0.0000], [0.8463, 0.6537, 0.0000], [0.0000, 0.0000, 0.5000], [0.5000, 0.5000, 0.5000], [0.1420, 0.6420, 0.5000], [0.3580, 0.1420, 0.5000], [0.6420, 0.8580, 0.5000], [0.8580, 0.3580, 0.5000]], "total_magnetization_mub_per_fu": 2.79, "crystal_system": "tetragonal", "spacegroup": "No. 127", "vol_a3_per_atom": 18.35, "dos_ef_per_ev_cell": 17.01}

---

<3>
{"formula": "Co2SnHg2", "functional": "GGA-PBE", "state": "optimized geometry", "lattice_angstrom": [[6.5062, 0.0000, 0.0000], [0.0000, 6.5062, 0.0000], [0.0000, 0.0000, 4.1673]], "species": ["Co", "Co", "Co", "Co", "Sn", "Sn", "Hg", "Hg", "Hg", "Hg"], "frac_coords": [[0.1309, 0.3691, 0.0000], [0.3691, 0.8691, 0.0000], [0.6309, 0.1309, 0.0000], [0.8691, 0.6309, 0.0000], [0.0000, 0.0000, 0.0000], [0.5000, 0.5000, 0.0000], [0.1647, 0.6647, 0.5000], [0.3353, 0.1647, 0.5000], [0.6647, 0.8353, 0.5000], [0.8353, 0.3353, 0.5000]], "total_magnetization_mub_per_fu": 1.51, "crystal_system": "tetragonal", "spacegroup": "No. 127", "vol_a3_per_atom": 17.64, "dos_ef_per_ev_cell": 12.39}

---

The relative energies come out as <1> 6.9; <2> 24.8; <3> 0.0, with values in kJ/mol of atoms.